(1)
Here is a relaxed Na2CuAu2 crystal from the Alexandria database. Energies are from GGA-PBE.

a = 8.631 Å, b = 8.631 Å, c = 2.808 Å
α = 90.00°, β = 90.00°, γ = 90.00°
Fractional coordinates of all 10 atoms:
1 Na 0.361 0.861 0.000
2 Na 0.861 0.639 0.000
3 Na 0.639 0.139 0.000
4 Na 0.139 0.361 0.000
5 Au 0.159 0.659 0.500
6 Au 0.659 0.841 0.500
7 Au 0.841 0.341 0.500
8 Au 0.341 0.159 0.500
9 Cu 0.000 0.000 0.000
10 Cu 0.500 0.500 0.000

Computed properties:
crystal system = tetragonal
distance to the lowest polymorph of the same formula = 7.48 kcal/mol of atoms
electronic total energy = -25.45 eV/cell
M_tot = 0.0 Bohr magnetons per cell
energy of formation from the pure elements = 113 meV per atom

***

(2)
Here is a relaxed Ca2ScTa crystal from the Alexandria database. Energies are from GGA-PBE.

a = 6.713 Å, b = 6.713 Å, c = 6.713 Å
α = 151.72°, β = 127.29°, γ = 60.89°
Fractional coordinates of all 4 atoms:
1 Sc 0.466 0.466 0.000
2 Ca 0.026 0.026 0.000
3 Ca 0.742 0.242 0.500
4 Ta 0.267 0.767 0.500

Computed properties:
crystal system = orthorhombic
distance to the lowest polymorph of the same formula = 5.08 kcal/mol of atoms
electronic total energy = -19.87 eV/cell
M_tot = 0.7 Bohr magnetons per cell
energy of formation from the pure elements = 580 meV per atom

***

(3)
Here is a relaxed KGaSi crystal from the Alexandria database. Energies are from GGA-PBE.

a = 12.612 Å, b = 7.502 Å, c = 7.502 Å
α = 151.46°, β = 147.11°, γ = 32.89°
Fractional coordinates of all 6 atoms:
1 K 0.821 0.368 0.632
2 K 0.494 0.367 0.633
3 Si 0.958 0.550 0.450
4 Si 0.036 0.884 0.116
5 Ga 0.344 0.171 0.829
6 Ga 0.246 0.886 0.114

Computed properties:
crystal system = monoclinic
electronic total energy = -19.20 eV/cell
M_tot = 0.0 Bohr magnetons per cell
formation energy (no corrections) = -0.05 eV per formula unit

***

| no. | N(E_F) (states/eV/f.u.) |
| --- | --- |
| 1 | 1.352 |
| 2 | 5.035 |
| 3 | 0.870 |